*i*
{"formula": "ScAlH2", "functional": "GGA-PBE", "state": "optimized geometry", "sg": "No. 225", "mass_density_kg_m3": 2882, "lattice_angstrom": [[5.545, 0.000, 0.000], [0.000, 5.545, 0.000], [0.000, 0.000, 5.545]], "species": ["Sc", "Sc", "Sc", "Sc", "Al", "Al", "Al", "Al", "H", "H", "H", "H", "H", "H", "H", "H"], "fractional_positions": [[0.000, 0.000, 0.000], [0.000, 0.500, 0.500], [0.500, 0.000, 0.500], [0.500, 0.500, 0.000], [0.000, 0.000, 0.500], [0.000, 0.500, 0.000], [0.500, 0.000, 0.000], [0.500, 0.500, 0.500], [0.250, 0.250, 0.250], [0.250, 0.250, 0.750], [0.250, 0.750, 0.250], [0.250, 0.750, 0.750], [0.750, 0.250, 0.250], [0.750, 0.250, 0.750], [0.750, 0.750, 0.250], [0.750, 0.750, 0.750]]}



*ii*
{"formula": "ScAlH2", "functional": "GGA-PBE", "state": "optimized geometry", "sg": "No. 122", "mass_density_kg_m3": 2744, "lattice_angstrom": [[4.337, 0.000, 0.000], [0.000, 4.337, 0.000], [0.000, 0.000, 9.513]], "species": ["Sc", "Sc", "Sc", "Sc", "Al", "Al", "Al", "Al", "H", "H", "H", "H", "H", "H", "H", "H"], "fractional_positions": [[0.000, 0.000, 0.000], [0.000, 0.500, 0.250], [0.500, 0.000, 0.750], [0.500, 0.500, 0.500], [0.000, 0.000, 0.500], [0.000, 0.500, 0.750], [0.500, 0.000, 0.250], [0.500, 0.500, 0.000], [0.244, 0.250, 0.625], [0.250, 0.744, 0.875], [0.250, 0.756, 0.375], [0.256, 0.250, 0.125], [0.744, 0.750, 0.125], [0.750, 0.244, 0.375], [0.750, 0.256, 0.875], [0.756, 0.750, 0.625]]}



Energies relative to the most stable structure are *i* 0.277; *ii* 0.000, reported in eV/atom.